Entry 1:
Compound: ZnNiBPt2
Source: Alexandria
Functional: PBE
Structure: relaxed

abc: 4.171 4.171 3.869
angles: 90.00 90.00 90.00
Positions (direct):
1 Ni 0.000 0.000 0.500
2 Zn 0.500 0.500 0.500
3 B 0.000 0.000 0.000
4 Pt 0.000 0.500 0.000
5 Pt 0.500 0.000 0.000

Output
- space-group type = No. 123
- DOS at the Fermi energy (states/eV per cell) = 2.6
- energy relative to the elements (eV/atom) = -0.23

Entry 2:
Compound: Ho3Mg5Hg2
Source: Alexandria
Functional: PBE
Structure: relaxed

abc: 6.254 9.605 9.605
angles: 86.93 71.00 71.00
Positions (direct):
1 Ho 0.250 0.000 0.000
2 Ho 0.750 0.000 0.000
3 Ho 0.365 0.377 0.892
4 Ho 0.635 0.623 0.108
5 Ho 0.865 0.892 0.377
6 Ho 0.135 0.108 0.623
7 Mg 0.250 0.500 0.500
8 Mg 0.750 0.500 0.500
9 Mg 0.507 0.743 0.743
10 Mg 0.993 0.257 0.257
11 Mg 0.493 0.257 0.257
12 Mg 0.007 0.743 0.743
13 Mg 0.113 0.540 0.234
14 Mg 0.887 0.460 0.766
15 Mg 0.613 0.234 0.540
16 Mg 0.387 0.766 0.460
17 Hg 0.138 0.715 0.010
18 Hg 0.862 0.285 0.990
19 Hg 0.638 0.010 0.715
20 Hg 0.362 0.990 0.285

Output
- space-group type = No. 72
- DOS at the Fermi energy (states/eV per cell) = 13.6
- energy relative to the elements (eV/atom) = -0.09

Entry 3:
Compound: Pa2Tl2PdS6
Source: Alexandria
Functional: PBE
Structure: relaxed

abc: 7.148 7.148 7.702
angles: 95.83 95.83 125.39
Positions (direct):
1 Pa 0.341 0.659 0.500
2 Pa 0.659 0.341 0.500
3 Tl 0.857 0.143 0.000
4 Tl 0.143 0.857 0.000
5 Pd 0.000 0.000 0.500
6 S 0.732 0.732 0.667
7 S 0.046 0.452 0.713
8 S 0.268 0.268 0.333
9 S 0.452 0.046 0.713
10 S 0.954 0.548 0.287
11 S 0.548 0.954 0.287

Output
- space-group type = No. 12
- formation energy without anion corrections (eV per atom) = -1.09

Calculated values (eV per atom) of VASP energy for the records, taken in order: -5.3928 -2.3167 -5.9686.